(1)
# SiPPtO

A relaxed SiPPtO crystal (PBE, the Open Quantum Materials Database).

Cell: 2.8362 6.9488 6.0317 Å, 90.00 90.00 90.00°
Positions (direct):
O  0.0000  0.7068  0.4111
O  0.0000  0.2932  0.9111
P  0.5000  0.3069  0.3835
P  0.5000  0.6931  0.8835
Pt  0.0000  0.0564  0.4367
Pt  0.0000  0.9436  0.9367
Si  0.5000  0.3903  0.0227
Si  0.5000  0.6097  0.5227

Calculated values
E above lowest polymorph   0 meV per atom
SG   Pmc2_1 (26)
Magnetization   0.00 μB per formula unit

=====

(2)
# SiPPtO

A relaxed SiPPtO crystal (PBE, the Open Quantum Materials Database).

Cell: 3.7050 3.7050 9.1268 Å, 90.00 90.00 90.00°
Positions (direct):
O  0.0000  0.0000  0.0000
O  0.5000  0.5000  0.0000
P  0.5000  0.0000  0.3288
P  0.0000  0.5000  0.6712
Pt  0.0000  0.0000  0.5000
Pt  0.5000  0.5000  0.5000
Si  0.0000  0.5000  0.0977
Si  0.5000  0.0000  0.9023

Calculated values
E above lowest polymorph   234 meV per atom
SG   P4/nmm (129)
Magnetization   0.01 μB per formula unit

=====

(3)
# SiPPtO

A relaxed SiPPtO crystal (PBE, the Open Quantum Materials Database).

Cell: 4.7591 4.7591 4.6870 Å, 90.00 90.00 90.00°
Positions (direct):
O  0.5000  0.0000  0.0000
O  0.0000  0.5000  0.0000
P  0.0000  0.0000  0.4966
P  0.5000  0.5000  0.5034
Pt  0.5000  0.5000  0.0030
Pt  0.0000  0.0000  0.9970
Si  0.5000  0.0000  0.5000
Si  0.0000  0.5000  0.5000

Calculated values
E above lowest polymorph   734 meV per atom
SG   P4/nmm (129)
Magnetization   0.00 μB per formula unit

=====

(4)
# SmPPtO

A relaxed SmPPtO crystal (PBE, the Open Quantum Materials Database).

Cell: 3.5806 7.5962 5.5368 Å, 90.00 90.00 90.00°
Positions (direct):
O  0.0000  0.5546  0.0027
O  0.0000  0.4454  0.5027
P  0.5000  0.9187  0.4095
P  0.5000  0.0813  0.9095
Pt  0.0000  0.7337  0.4302
Pt  0.0000  0.2663  0.9302
Sm  0.5000  0.2960  0.4116
Sm  0.5000  0.7040  0.9116

Calculated values
E above lowest polymorph   502 meV per atom
SG   Pmc2_1 (26)
Magnetization   0.00 μB per formula unit

=====

(5)
# SmPPtO

A relaxed SmPPtO crystal (PBE, the Open Quantum Materials Database).

Cell: 5.8748 5.8748 4.4786 Å, 90.00 90.00 90.00°
Positions (direct):
O  0.0000  0.0000  0.0000
O  0.5000  0.5000  0.0000
P  0.5000  0.0000  0.4901
P  0.0000  0.5000  0.5099
Pt  0.0000  0.5000  0.0100
Pt  0.5000  0.0000  0.9900
Sm  0.0000  0.0000  0.5000
Sm  0.5000  0.5000  0.5000

Calculated values
E above lowest polymorph   873 meV per atom
SG   P4/nmm (129)
Magnetization   0.00 μB per formula unit

=====

(6)
# SmPPtO

A relaxed SmPPtO crystal (PBE, the Open Quantum Materials Database).

Cell: 4.1543 4.1543 7.8324 Å, 90.00 90.00 90.00°
Positions (direct):
O  0.5000  0.0000  0.0000
O  0.0000  0.5000  0.0000
P  0.5000  0.5000  0.3434
P  0.0000  0.0000  0.6566
Pt  0.5000  0.0000  0.5000
Pt  0.0000  0.5000  0.5000
Sm  0.0000  0.0000  0.1371
Sm  0.5000  0.5000  0.8629

Calculated values
E above lowest polymorph   0 meV per atom
SG   P4/nmm (129)
Magnetization   0.00 μB per formula unit